# 1
Compound: BaSeS
Source: Alexandria via LeMat-Bulk
Functional: PBE
Structure: relaxed

Computed properties:
Its raw formation energy is -3.16 eV/f.u. As for the symmetry: P-6m2.

a = 4.2739 Å, b = 4.7984 Å, c = 4.7984 Å
α = 120.00°, β = 90.00°, γ = 90.00°
Last column: nearest neighbours and their distance in Å.
Element x y z (fractional)
S  0.1667  0.3333  0.6667  3 Se 2.77
Ba  0.6666  0.6667  0.3333  6 S 3.50, 6 Se 3.50
Se  0.1667  0.0000  0.0000  3 S 2.77

---

# 2
Compound: AcDyMg2Tl4
Source: Alexandria via LeMat-Bulk
Functional: PBE
Structure: relaxed

Computed properties:
As for the symmetry: R-3m. For the formation energy, the calculation gives -0.24 eV/atom.

a = 4.9901 Å, b = 4.9901 Å, c = 10.9284 Å
α = 76.80°, β = 76.80°, γ = 60.00°
Last column: nearest neighbours and their distance in Å.
Element x y z (fractional)
Ac  0.0000  0.0000  0.0000  6 Tl 3.42
Dy  0.5000  0.5000  0.5000  8 Tl 3.19-3.43
Mg  0.7571  0.7571  0.7287  6 Tl 3.06-3.07
Mg  0.2429  0.2429  0.2713  6 Tl 3.06-3.07
Tl  0.3916  0.3916  0.8251  3 Mg 3.06, 3 Ac 3.42
Tl  0.8763  0.8763  0.3711  3 Mg 3.07, 3 Dy 3.19
Tl  0.1237  0.1237  0.6289  3 Mg 3.07, 3 Dy 3.19
Tl  0.6084  0.6084  0.1749  3 Mg 3.06, 3 Ac 3.42

---

# 3
Compound: Pr2Nd3Tl2
Source: Alexandria via LeMat-Bulk
Functional: PBE
Structure: relaxed

Computed properties:
As for the symmetry: C2/m. For the formation energy, the calculation gives -0.21 eV/atom.

a = 3.9100 Å, b = 6.9482 Å, c = 8.9750 Å
α = 98.08°, β = 90.01°, γ = 106.34°
Last column: nearest neighbours and their distance in Å.
Element x y z (fractional)
Pr  0.8703  0.7399  0.5577  4 Tl 3.38-3.50, 3 Nd 3.66-3.70, 3 Pr 3.76
Pr  0.1297  0.2601  0.4423  4 Tl 3.38-3.50, 3 Nd 3.66-3.70, 3 Pr 3.76
Nd  0.0000  0.0000  0.0000  4 Tl 3.28
Nd  0.7423  0.4839  0.1630  2 Tl 3.32, 2 Nd 3.55, 3 Pr 3.66-3.70
Nd  0.2577  0.5161  0.8370  2 Tl 3.32, 2 Nd 3.55, 3 Pr 3.66-3.70
Tl  0.5586  0.1173  0.7324  4 Nd 3.28-3.32, 4 Pr 3.38-3.50
Tl  0.4414  0.8827  0.2676  4 Nd 3.28-3.32, 4 Pr 3.38-3.50